#a
Density functional theory data (GGA-PBEsol) for a relaxed LaTc2Cl crystal.

## Properties
V	17.2	A^3/atom

abc: 4.5975 4.5975 4.5975
angles: 60.00 60.00 60.00
Last column: magnetic moment on the atom in μB.
Atoms (fractional coordinates):
Tc: 0.7500 0.7500 0.7500  0.46
Tc: 0.2500 0.2500 0.2500  0.46
Cl: 0.0000 0.0000 0.0000  0.04
La: 0.5000 0.5000 0.5000  0.02

***

#b
Density functional theory data (GGA-PBEsol) for a relaxed LaTc2Cl crystal.

## Properties
V	19.6	A^3/atom

abc: 3.6978 3.6978 5.7254
angles: 90.00 90.00 90.00
Atoms (fractional coordinates):
Cl: 0.5000 0.5000 0.5000
La: 0.0000 0.0000 0.5000
Tc: 0.5000 0.0000 0.0000
Tc: 0.0000 0.5000 0.0000

***

Order of stability, best first: #b, #a

***

#a
Density functional theory data (GGA-PBEsol) for a relaxed LaZnCl2 crystal.

## Properties
V	30.4	A^3/atom

abc: 3.8132 3.8132 9.8910
angles: 78.89 78.89 60.00
Atoms (fractional coordinates):
La: 0.5000 0.5000 0.5000
Cl: 0.7707 0.7707 0.6880
Cl: 0.2293 0.2293 0.3120
Zn: 0.0000 0.0000 0.0000

***

#b
Density functional theory data (GGA-PBEsol) for a relaxed LaZnCl2 crystal.

## Properties
V	23.8	A^3/atom

abc: 3.5609 3.5609 8.9101
angles: 78.47 78.47 60.00
Atoms (fractional coordinates):
Zn: 0.5000 0.5000 0.5000
Cl: 0.8899 0.8899 0.3303
Cl: 0.1101 0.1101 0.6697
La: 0.0000 0.0000 0.0000

***

Order of stability, best first: #a, #b